Run w
# Y2Tl2Ni

Crystalline Y2Tl2Ni at its relaxed geometry (PBE, the Alexandria database).

Cell lengths 7.2391, 7.2391, 5.1563 Å; angles 90.00, 90.00, 90.00 degrees
Fractional coordinates of all 10 atoms:
Y (0.1660, 0.3340, 0.0000)
Y (0.3340, 0.8340, 0.0000)
Y (0.6660, 0.1660, 0.0000)
Y (0.8340, 0.6660, 0.0000)
Tl (0.1547, 0.6547, 0.5000)
Tl (0.3453, 0.1547, 0.5000)
Tl (0.6547, 0.8453, 0.5000)
Tl (0.8453, 0.3453, 0.5000)
Ni (0.0000, 0.0000, 0.0000)
Ni (0.5000, 0.5000, 0.0000)

Calculated values
- DOS(E_F): 0.661 states/eV/atom
- Calculated density: 7.931 Mg/m³
- Size of the total moment: 0.00 μB/f.u.
- SG: P4/mbm (127)



Run x
# Y2Tl2Ni

Crystalline Y2Tl2Ni at its relaxed geometry (PBE, the Alexandria database).

Cell lengths 7.3066, 7.3066, 4.6427 Å; angles 90.00, 90.00, 90.00 degrees
Fractional coordinates of all 10 atoms:
Y (0.1664, 0.3336, 0.0000)
Y (0.3336, 0.8336, 0.0000)
Y (0.6664, 0.1664, 0.0000)
Y (0.8336, 0.6664, 0.0000)
Tl (0.1462, 0.6462, 0.5000)
Tl (0.3538, 0.1462, 0.5000)
Tl (0.6462, 0.8538, 0.5000)
Tl (0.8538, 0.3538, 0.5000)
Ni (0.0000, 0.0000, 0.5000)
Ni (0.5000, 0.5000, 0.5000)

Calculated values
- DOS(E_F): 0.882 states/eV/atom
- Calculated density: 8.646 Mg/m³
- Size of the total moment: 0.00 μB/f.u.
- SG: P4/mbm (127)



Stability ranking, top and bottom: run x is the most stable and run w is the least stable.



Run w
# TlZn2Ni2

Crystalline TlZn2Ni2 at its relaxed geometry (PBE, the Alexandria database).

Cell lengths 7.0314, 7.0314, 3.0316 Å; angles 90.00, 90.00, 90.00 degrees
Fractional coordinates of all 10 atoms:
Tl (0.0000, 0.0000, 0.0000)
Tl (0.5000, 0.5000, 0.0000)
Zn (0.1456, 0.3544, 0.5000)
Zn (0.3544, 0.8544, 0.5000)
Zn (0.6456, 0.1456, 0.5000)
Zn (0.8544, 0.6456, 0.5000)
Ni (0.1437, 0.6437, 0.0000)
Ni (0.3563, 0.1437, 0.0000)
Ni (0.6437, 0.8563, 0.0000)
Ni (0.8563, 0.3563, 0.0000)

Calculated values
- DOS(E_F): 0.534 states/eV/atom
- Calculated density: 10.028 Mg/m³
- Size of the total moment: 0.00 μB/f.u.
- SG: P4/mbm (127)



Run x
# TlZn2Ni2

Crystalline TlZn2Ni2 at its relaxed geometry (PBE, the Alexandria database).

Cell lengths 3.6282, 3.6282, 11.8584 Å; angles 90.00, 90.00, 90.00 degrees
Fractional coordinates of all 10 atoms:
Tl (0.0000, 0.0000, 0.0000)
Tl (0.5000, 0.5000, 0.5000)
Zn (0.0000, 0.5000, 0.2500)
Zn (0.0000, 0.5000, 0.7500)
Zn (0.5000, 0.0000, 0.2500)
Zn (0.5000, 0.0000, 0.7500)
Ni (0.0000, 0.0000, 0.3984)
Ni (0.0000, 0.0000, 0.6016)
Ni (0.5000, 0.5000, 0.1016)
Ni (0.5000, 0.5000, 0.8984)

Calculated values
- DOS(E_F): 0.336 states/eV/atom
- Calculated density: 9.629 Mg/m³
- Size of the total moment: 0.00 μB/f.u.
- SG: I4/mmm (139)



Run y
# TlZn2Ni2

Crystalline TlZn2Ni2 at its relaxed geometry (PBE, the Alexandria database).

Cell lengths 7.2106, 7.2106, 2.8560 Å; angles 90.00, 90.00, 90.00 degrees
Fractional coordinates of all 10 atoms:
Tl (0.0000, 0.0000, 0.0000)
Tl (0.5000, 0.5000, 0.0000)
Zn (0.1270, 0.3730, 0.0000)
Zn (0.3730, 0.8730, 0.0000)
Zn (0.6270, 0.1270, 0.0000)
Zn (0.8730, 0.6270, 0.0000)
Ni (0.1644, 0.6644, 0.5000)
Ni (0.3356, 0.1644, 0.5000)
Ni (0.6644, 0.8356, 0.5000)
Ni (0.8356, 0.3356, 0.5000)

Calculated values
- DOS(E_F): 0.672 states/eV/atom
- Calculated density: 10.122 Mg/m³
- Size of the total moment: 0.00 μB/f.u.
- SG: P4/mbm (127)



Run z
# TlZn2Ni2

Crystalline TlZn2Ni2 at its relaxed geometry (PBE, the Alexandria database).

Cell lengths 3.7822, 3.7822, 11.5282 Å; angles 90.00, 90.00, 90.00 degrees
Fractional coordinates of all 10 atoms:
Tl (0.0000, 0.0000, 0.0000)
Tl (0.5000, 0.5000, 0.5000)
Zn (0.0000, 0.0000, 0.3828)
Zn (0.0000, 0.0000, 0.6172)
Zn (0.5000, 0.5000, 0.1172)
Zn (0.5000, 0.5000, 0.8828)
Ni (0.0000, 0.5000, 0.2500)
Ni (0.0000, 0.5000, 0.7500)
Ni (0.5000, 0.0000, 0.2500)
Ni (0.5000, 0.0000, 0.7500)

Calculated values
- DOS(E_F): 0.430 states/eV/atom
- Calculated density: 9.114 Mg/m³
- Size of the total moment: 0.00 μB/f.u.
- SG: I4/mmm (139)



Stability ranking, top and bottom: run w is the most stable and run z is the least stable.



Run w
# TlZn2Ni

Crystalline TlZn2Ni at its relaxed geometry (PBE, the Alexandria database).

Cell lengths 6.4170, 6.4170, 6.4170 Å; angles 90.00, 90.00, 90.00 degrees
Fractional coordinates of all 16 atoms:
Tl (0.0000, 0.0000, 0.0000)
Tl (0.0000, 0.5000, 0.5000)
Tl (0.5000, 0.0000, 0.5000)
Tl (0.5000, 0.5000, 0.0000)
Zn (0.2500, 0.2500, 0.2500)
Zn (0.2500, 0.2500, 0.7500)
Zn (0.2500, 0.7500, 0.2500)
Zn (0.2500, 0.7500, 0.7500)
Zn (0.7500, 0.2500, 0.2500)
Zn (0.7500, 0.2500, 0.7500)
Zn (0.7500, 0.7500, 0.2500)
Zn (0.7500, 0.7500, 0.7500)
Ni (0.0000, 0.0000, 0.5000)
Ni (0.0000, 0.5000, 0.0000)
Ni (0.5000, 0.0000, 0.0000)
Ni (0.5000, 0.5000, 0.5000)

Calculated values
- DOS(E_F): 0.352 states/eV/atom
- Calculated density: 9.901 Mg/m³
- Size of the total moment: 0.00 μB/f.u.
- SG: Fm-3m (225)



Run x
# TlZn2Ni

Crystalline TlZn2Ni at its relaxed geometry (PBE, the Alexandria database).

Cell lengths 3.1600, 4.0721, 5.3187 Å; angles 90.00, 90.00, 90.00 degrees
Fractional coordinates of all 4 atoms:
Tl (0.0000, 0.0000, 0.0000)
Zn (0.0000, 0.5000, 0.5890)
Zn (0.5000, 0.0000, 0.4934)
Ni (0.5000, 0.5000, 0.2192)

Calculated values
- DOS(E_F): 0.286 states/eV/atom
- Calculated density: 9.557 Mg/m³
- Size of the total moment: 0.00 μB/f.u.
- SG: Pmm2 (25)



Run y
# TlZn2Ni

Crystalline TlZn2Ni at its relaxed geometry (PBE, the Alexandria database).

Cell lengths 3.2343, 3.2343, 6.4852 Å; angles 90.00, 90.00, 90.00 degrees
Fractional coordinates of all 4 atoms:
Tl (0.0000, 0.0000, 0.0000)
Zn (0.0000, 0.0000, 0.5525)
Zn (0.5000, 0.5000, 0.3226)
Ni (0.5000, 0.5000, 0.7092)

Calculated values
- DOS(E_F): 0.342 states/eV/atom
- Calculated density: 9.641 Mg/m³
- Size of the total moment: 0.00 μB/f.u.
- SG: P4mm (99)



Stability ranking, top and bottom: run y is the most stable and run w is the least stable.